Record 1
First-principles (GGA-PBE) data for a relaxed structure of WS2, as listed in Alexandria.

Cell lengths 3.190, 3.190, 21.303 Å; angles 90.00, 90.00, 120.00 degrees
Atoms (fractional coordinates):
S1 0.667 0.333 0.579
S2 0.333 0.667 0.052
S3 0.333 0.667 0.402
S4 0.333 0.667 0.904
S5 0.333 0.667 0.254
S6 0.667 0.333 0.727
W1 0.667 0.333 0.978
W2 0.667 0.333 0.328
W3 0.333 0.667 0.653

For the formation energy from raw total energies, the calculation gives -2.5 eV/f.u. The space group is P3m1 (156). Its energy is -71.032 eV for the cell shown.

***

Record 2
First-principles (GGA-PBE) data for a relaxed structure of WS, as listed in Alexandria.

Cell lengths 7.576, 10.271, 8.170 Å; angles 90.00, 90.00, 90.00 degrees
Atoms (fractional coordinates):
W1 0.000 0.625 0.000
W2 0.000 0.375 0.000
W3 0.250 0.125 0.250
W4 0.250 0.375 0.250
W5 0.000 0.125 0.500
W6 0.000 0.875 0.500
W7 0.250 0.625 0.750
W8 0.250 0.875 0.750
W9 0.500 0.625 0.500
W10 0.500 0.375 0.500
W11 0.750 0.125 0.750
W12 0.750 0.375 0.750
W13 0.500 0.125 0.000
W14 0.500 0.875 0.000
W15 0.750 0.625 0.250
W16 0.750 0.875 0.250
S1 0.232 0.000 0.000
S2 0.768 0.000 0.000
S3 0.018 0.750 0.250
S4 0.482 0.750 0.250
S5 0.232 0.500 0.500
S6 0.768 0.500 0.500
S7 0.018 0.250 0.750
S8 0.482 0.250 0.750
S9 0.732 0.000 0.500
S10 0.268 0.000 0.500
S11 0.518 0.750 0.750
S12 0.982 0.750 0.750
S13 0.732 0.500 0.000
S14 0.268 0.500 0.000
S15 0.518 0.250 0.250
S16 0.982 0.250 0.250

For the formation energy from raw total energies, the calculation gives 0.2 eV/f.u. The value obtained for the energy above the most stable polymorph in this dataset is 373 meV/atom. The space group is Fddd (70). Its energy is -269.708 eV for the cell shown.

***

Record 3
First-principles (GGA-PBE) data for a relaxed structure of WS, as listed in Alexandria.

Cell lengths 9.318, 4.242, 5.496 Å; angles 90.00, 90.00, 90.00 degrees
Atoms (fractional coordinates):
W1 0.780 0.102 0.384
W2 0.720 0.898 0.884
W3 0.220 0.102 0.384
W4 0.280 0.898 0.884
W5 0.000 0.492 0.498
W6 0.500 0.508 0.998
S1 0.809 0.400 0.763
S2 0.691 0.600 0.263
S3 0.191 0.400 0.763
S4 0.309 0.600 0.263
S5 0.000 0.909 0.211
S6 0.500 0.091 0.711

For the formation energy from raw total energies, the calculation gives 0.4 eV/f.u. The value obtained for the energy above the most stable polymorph in this dataset is 455 meV/atom. The space group is Pmn2_1 (31). Its energy is -100.150 eV for the cell shown.

***

Record 4
First-principles (GGA-PBE) data for a relaxed structure of WS2, as listed in Alexandria.

Cell lengths 3.190, 3.190, 13.922 Å; angles 90.00, 90.00, 120.00 degrees
Atoms (fractional coordinates):
S1 0.667 0.333 0.336
S2 0.333 0.667 0.062
S3 0.333 0.667 0.836
S4 0.667 0.333 0.562
W1 0.667 0.333 0.949
W2 0.333 0.667 0.449

For the formation energy from raw total energies, the calculation gives -2.5 eV/f.u. The space group is P6_3/mmc (194). Its energy is -47.355 eV for the cell shown.

***

Record 5
First-principles (GGA-PBE) data for a relaxed structure of WS, as listed in Alexandria.

Cell lengths 6.533, 6.533, 6.533 Å; angles 90.00, 90.00, 90.00 degrees
Atoms (fractional coordinates):
W1 0.250 0.500 0.000
W2 0.750 0.500 0.000
W3 0.500 0.000 0.250
W4 0.500 0.000 0.750
W5 0.000 0.250 0.500
W6 0.000 0.750 0.500
S1 0.250 0.000 0.500
S2 0.750 0.000 0.500
S3 0.000 0.500 0.250
S4 0.000 0.500 0.750
S5 0.500 0.250 0.000
S6 0.500 0.750 0.000

For the formation energy from raw total energies, the calculation gives 1.2 eV/f.u. The value obtained for the energy above the most stable polymorph in this dataset is 837 meV/atom. The space group is Pm-3n (223). Its energy is -95.571 eV for the cell shown.

***

Record 6
First-principles (GGA-PBE) data for a relaxed structure of WS, as listed in Alexandria.

Cell lengths 6.140, 5.769, 8.460 Å; angles 90.00, 90.00, 90.00 degrees
Atoms (fractional coordinates):
W1 0.680 0.175 0.989
W2 0.180 0.325 0.011
W3 0.320 0.675 0.511
W4 0.820 0.825 0.489
W5 0.348 0.984 0.809
W6 0.848 0.516 0.191
W7 0.652 0.484 0.691
W8 0.152 0.016 0.309
S1 0.366 0.974 0.082
S2 0.866 0.526 0.918
S3 0.634 0.474 0.418
S4 0.134 0.026 0.582
S5 0.320 0.575 0.805
S6 0.820 0.925 0.195
S7 0.680 0.075 0.695
S8 0.180 0.425 0.305

For the formation energy from raw total energies, the calculation gives 0.3 eV/f.u. The value obtained for the energy above the most stable polymorph in this dataset is 409 meV/atom. The space group is P2_12_12_1 (19). Its energy is -134.276 eV for the cell shown.

***

Record 7
First-principles (GGA-PBE) data for a relaxed structure of W5S8, as listed in Alexandria.

Cell lengths 6.614, 6.614, 6.948 Å; angles 104.90, 103.46, 119.03 degrees
Atoms (fractional coordinates):
W1 0.000 0.000 0.000
W2 0.718 0.218 0.500
W3 0.282 0.782 0.500
W4 0.715 0.777 0.492
W5 0.285 0.223 0.508
S1 0.286 0.928 0.214
S2 0.714 0.072 0.786
S3 0.808 0.486 0.294
S4 0.192 0.514 0.706
S5 0.805 0.969 0.252
S6 0.717 0.554 0.748
S7 0.283 0.446 0.252
S8 0.195 0.031 0.748

For the formation energy from raw total energies, the calculation gives -6.2 eV/f.u. The space group is C2/m (12). Its energy is -104.019 eV for the cell shown.

***

Record 8
First-principles (GGA-PBE) data for a relaxed structure of WS, as listed in Alexandria.

Cell lengths 5.338, 5.338, 5.338 Å; angles 90.00, 90.00, 90.00 degrees
Atoms (fractional coordinates):
W1 0.000 0.000 0.000
W2 0.000 0.500 0.500
W3 0.500 0.000 0.500
W4 0.500 0.500 0.000
S1 0.250 0.250 0.250
S2 0.250 0.750 0.750
S3 0.750 0.250 0.750
S4 0.750 0.750 0.250

For the formation energy from raw total energies, the calculation gives 0.9 eV/f.u. The value obtained for the energy above the most stable polymorph in this dataset is 725 meV/atom. The space group is F-43m (216). Its energy is -64.605 eV for the cell shown.

***

Record 9
First-principles (GGA-PBE) data for a relaxed structure of WS, as listed in Alexandria.

Cell lengths 3.786, 3.786, 6.142 Å; angles 90.00, 90.00, 120.00 degrees
Atoms (fractional coordinates):
W1 0.333 0.667 0.729
W2 0.667 0.333 0.229
S1 0.333 0.667 0.353
S2 0.667 0.333 0.853

For the formation energy from raw total energies, the calculation gives 1.0 eV/f.u. The value obtained for the energy above the most stable polymorph in this dataset is 766 meV/atom. The space group is P6_3mc (186). Its energy is -32.138 eV for the cell shown.

***

Record 10
First-principles (GGA-PBE) data for a relaxed structure of WS, as listed in Alexandria.

Cell lengths 10.922, 10.922, 3.335 Å; angles 90.00, 90.00, 90.00 degrees
Atoms (fractional coordinates):
W1 0.756 0.424 0.500
W2 0.244 0.576 0.500
W3 0.576 0.756 0.500
W4 0.424 0.244 0.500
W5 0.889 0.551 0.000
W6 0.111 0.449 0.000
W7 0.449 0.889 0.000
W8 0.551 0.111 0.000
S1 0.770 0.648 0.500
S2 0.230 0.352 0.500
S3 0.352 0.770 0.500
S4 0.648 0.230 0.500
S5 0.893 0.336 0.000
S6 0.107 0.664 0.000
S7 0.664 0.893 0.000
S8 0.336 0.107 0.000

For the formation energy from raw total energies, the calculation gives 0.1 eV/f.u. The value obtained for the energy above the most stable polymorph in this dataset is 290 meV/atom. The space group is P4/m (83). Its energy is -136.181 eV for the cell shown.

***

Record 11
First-principles (GGA-PBE) data for a relaxed structure of WS2, as listed in Alexandria.

Cell lengths 3.190, 3.190, 36.484 Å; angles 90.00, 90.00, 120.00 degrees
Atoms (fractional coordinates):
W1 0.333 0.667 0.406
W2 0.333 0.667 0.785
W3 0.667 0.333 0.215
W4 0.667 0.333 0.594
S1 0.333 0.667 0.172
S2 0.333 0.667 0.551
S3 0.667 0.333 0.363
S4 0.667 0.333 0.742
S5 0.333 0.667 0.258
S6 0.333 0.667 0.637
S7 0.667 0.333 0.449
S8 0.667 0.333 0.828

For the formation energy from raw total energies, the calculation gives -2.5 eV/f.u. The space group is P-3m1 (164). Its energy is -94.707 eV for the cell shown.

***

Record 12
First-principles (GGA-PBE) data for a relaxed structure of WS, as listed in Alexandria.

Cell lengths 3.023, 3.023, 8.181 Å; angles 90.00, 90.00, 120.00 degrees
Atoms (fractional coordinates):
W1 0.667 0.333 0.536
W2 0.333 0.667 0.036
S1 0.667 0.333 0.841
S2 0.333 0.667 0.341

For the formation energy from raw total energies, the calculation gives -0.4 eV/f.u. The value obtained for the energy above the most stable polymorph in this dataset is 71 meV/atom. The space group is P6_3mc (186). Its energy is -34.920 eV for the cell shown.

***

Record 13
First-principles (GGA-PBE) data for a relaxed structure of WS, as listed in Alexandria.

Cell lengths 10.210, 10.210, 3.236 Å; angles 90.00, 90.00, 90.00 degrees
Atoms (fractional coordinates):
W1 0.353 0.245 0.000
W2 0.647 0.755 0.000
W3 0.755 0.353 0.000
W4 0.245 0.647 0.000
W5 0.853 0.745 0.500
W6 0.147 0.255 0.500
W7 0.255 0.853 0.500
W8 0.745 0.147 0.500
S1 0.416 0.807 0.000
S2 0.584 0.193 0.000
S3 0.193 0.416 0.000
S4 0.807 0.584 0.000
S5 0.916 0.307 0.500
S6 0.084 0.693 0.500
S7 0.693 0.916 0.500
S8 0.307 0.084 0.500

For the formation energy from raw total energies, the calculation gives 0.2 eV/f.u. The value obtained for the energy above the most stable polymorph in this dataset is 346 meV/atom. The space group is I4/m (87). Its energy is -135.279 eV for the cell shown.

***

Record 14
First-principles (GGA-PBE) data for a relaxed structure of WS, as listed in Alexandria.

Cell lengths 3.161, 5.614, 11.400 Å; angles 90.00, 90.00, 90.00 degrees
Atoms (fractional coordinates):
W1 0.000 0.999 0.871
W2 0.500 0.001 0.629
W3 0.500 0.001 0.371
W4 0.000 0.999 0.129
W5 0.000 0.698 0.500
W6 0.500 0.302 0.000
S1 0.000 0.715 0.710
S2 0.500 0.285 0.790
S3 0.500 0.285 0.210
S4 0.000 0.715 0.290
S5 0.000 0.653 0.000
S6 0.500 0.347 0.500

For the formation energy from raw total energies, the calculation gives -0.5 eV/f.u. The value obtained for the energy above the most stable polymorph in this dataset is 0 meV/atom. The space group is Pmmn (59). Its energy is -105.611 eV for the cell shown.

***

Record 15
First-principles (GGA-PBE) data for a relaxed structure of WS, as listed in Alexandria.

Cell lengths 7.363, 7.363, 7.363 Å; angles 90.00, 90.00, 90.00 degrees
Atoms (fractional coordinates):
W1 0.366 0.366 0.366
W2 0.366 0.634 0.634
W3 0.634 0.366 0.634
W4 0.634 0.634 0.366
W5 0.866 0.866 0.866
W6 0.866 0.134 0.134
W7 0.134 0.866 0.134
W8 0.134 0.134 0.866
S1 0.179 0.179 0.179
S2 0.179 0.821 0.821
S3 0.821 0.179 0.821
S4 0.821 0.821 0.179
S5 0.679 0.679 0.679
S6 0.679 0.321 0.321
S7 0.321 0.679 0.321
S8 0.321 0.321 0.679

For the formation energy from raw total energies, the calculation gives 0.5 eV/f.u. The value obtained for the energy above the most stable polymorph in this dataset is 526 meV/atom. The space group is I-43m (217). Its energy is -132.396 eV for the cell shown.

***

Record 16
First-principles (GGA-PBE) data for a relaxed structure of WS, as listed in Alexandria.

Cell lengths 4.969, 4.969, 4.969 Å; angles 90.00, 90.00, 90.00 degrees
Site moments in Bohr magnetons follow the coordinates.
Atoms (fractional coordinates):
W1 0.500 0.500 0.500  0.42
W2 0.500 0.000 0.000  0.42
W3 0.000 0.500 0.000  0.42
W4 0.000 0.000 0.500  0.42
S1 0.000 0.000 0.000  0.00
S2 0.000 0.500 0.500  0.00
S3 0.500 0.000 0.500  0.00
S4 0.500 0.500 0.000  0.00

For the formation energy from raw total energies, the calculation gives 1.5 eV/f.u. The value obtained for the energy above the most stable polymorph in this dataset is 1027 meV/atom. The space group is Fm-3m (225). Its energy is -62.193 eV for the cell shown.

***

Record 17
First-principles (GGA-PBE) data for a relaxed structure of WS, as listed in Alexandria.

Cell lengths 9.064, 9.064, 3.140 Å; angles 90.00, 90.00, 120.00 degrees
Atoms (fractional coordinates):
W1 0.868 0.369 0.250
W2 0.499 0.868 0.750
W3 0.631 0.499 0.250
W4 0.132 0.631 0.750
W5 0.501 0.132 0.250
W6 0.369 0.501 0.750
S1 0.711 0.048 0.250
S2 0.663 0.711 0.750
S3 0.952 0.663 0.250
S4 0.289 0.952 0.750
S5 0.337 0.289 0.250
S6 0.048 0.337 0.750

For the formation energy from raw total energies, the calculation gives -0.5 eV/f.u. The value obtained for the energy above the most stable polymorph in this dataset is 14 meV/atom. The space group is P6_3/m (176). Its energy is -105.438 eV for the cell shown.

***

Record 18
First-principles (GGA-PBE) data for a relaxed structure of WS2, as listed in Alexandria.

Cell lengths 3.204, 5.734, 7.263 Å; angles 101.61, 102.74, 90.00 degrees
Atoms (fractional coordinates):
W1 0.255 0.701 0.510
W2 0.745 0.299 0.490
S1 0.876 0.650 0.752
S2 0.124 0.350 0.248
S3 0.654 0.872 0.309
S4 0.346 0.128 0.691

For the formation energy from raw total energies, the calculation gives -1.9 eV/f.u. The space group is C2/m (12). Its energy is -46.280 eV for the cell shown.

***

Record 19
First-principles (GGA-PBE) data for a relaxed structure of WS2, as listed in Alexandria.

Cell lengths 3.189, 3.189, 7.268 Å; angles 90.00, 90.00, 120.00 degrees
Atoms (fractional coordinates):
S1 0.667 0.333 0.284
S2 0.667 0.333 0.716
W1 0.333 0.667 0.500

For the formation energy from raw total energies, the calculation gives -2.5 eV/f.u. The space group is P-6m2 (187). Its energy is -23.676 eV for the cell shown.

***

Record 20
First-principles (GGA-PBE) data for a relaxed structure of WS2, as listed in Alexandria.

Cell lengths 6.273, 6.273, 6.273 Å; angles 129.05, 129.05, 74.92 degrees
Atoms (fractional coordinates):
W1 0.750 0.250 0.500
W2 0.000 0.000 0.000
S1 0.875 0.876 0.501
S2 0.124 0.625 0.999
S3 0.375 0.374 0.499
S4 0.626 0.125 0.001

For the formation energy from raw total energies, the calculation gives -0.2 eV/f.u. The space group is I-42d (122). Its energy is -42.858 eV for the cell shown.